The following is a PBE-GGA calculation of a geometry-optimized CaAc2Ag structure, from Alexandria.

Values from the calculation:
* V: 36.142 Å³ per atom
* formation energy: 0.0636 eV per atom
* N(E_F): 20.1 states/eV/cell
* space group: Fm-3m (225)
* calculated total energy: -3.204 eV/atom

Unit cell a=8.3312 b=8.3312 c=8.3312 alpha=90.00 beta=90.00 gamma=90.00
Fractional positions:
Ca1 0.0000 0.0000 0.0000
Ca2 0.0000 0.5000 0.5000
Ca3 0.5000 0.0000 0.5000
Ca4 0.5000 0.5000 0.0000
Ac1 0.2500 0.2500 0.2500
Ac2 0.2500 0.2500 0.7500
Ac3 0.2500 0.7500 0.2500
Ac4 0.2500 0.7500 0.7500
Ac5 0.7500 0.2500 0.2500
Ac6 0.7500 0.2500 0.7500
Ac7 0.7500 0.7500 0.2500
Ac8 0.7500 0.7500 0.7500
Ag1 0.0000 0.0000 0.5000
Ag2 0.0000 0.5000 0.0000
Ag3 0.5000 0.0000 0.0000
Ag4 0.5000 0.5000 0.5000

The following is a PBE-GGA calculation of a geometry-optimized In3BIr3 structure, from Alexandria.

Values from the calculation:
* V: 18.066 Å³ per atom
* formation energy: -0.0205 eV per atom
* N(E_F): 6.5 states/eV/cell
* space group: C2/m (12)
* calculated total energy: -5.946 eV/atom

Unit cell a=7.0675 b=7.0675 c=5.9505 alpha=97.49 beta=97.49 gamma=118.36
Fractional positions:
In1 0.1849 0.8151 0.0000
In2 0.2468 0.7532 0.5000
In3 0.3569 0.3569 0.1993
In4 0.6431 0.6431 0.8007
In5 0.7532 0.2468 0.5000
In6 0.8151 0.1849 0.0000
B1 0.2251 0.2251 0.5589
B2 0.7749 0.7749 0.4411
Ir1 0.0054 0.0054 0.2650
Ir2 0.2032 0.4545 0.7963
Ir3 0.4545 0.2032 0.7963
Ir4 0.5455 0.7968 0.2037
Ir5 0.7968 0.5455 0.2037
Ir6 0.9946 0.9946 0.7350

The following is a PBE-GGA calculation of a geometry-optimized TlBiS2 structure, from Alexandria.

Values from the calculation:
* V: 27.720 Å³ per atom
* space group: R-3m (166)
* calculated total energy: -4.044 eV/atom

Unit cell a=4.1510 b=4.1510 c=22.2913 alpha=90.00 beta=90.00 gamma=120.00
Fractional positions:
Tl1 0.0000 0.0000 0.0000
Tl2 0.3333 0.6667 0.6667
Tl3 0.6667 0.3333 0.3333
Bi1 0.0000 0.0000 0.5000
Bi2 0.3333 0.6667 0.1667
Bi3 0.6667 0.3333 0.8333
S1 0.0000 0.0000 0.2370
S2 0.0000 0.0000 0.7630
S3 0.3333 0.6667 0.4297
S4 0.3333 0.6667 0.9036
S5 0.6667 0.3333 0.0964
S6 0.6667 0.3333 0.5703

The following is a PBE-GGA calculation of a geometry-optimized Sm3DyO6 structure, from Alexandria.

Values from the calculation:
* V: 16.288 Å³ per atom
* N(E_F): 0.0 states/eV/cell
* space group: R-3 (148)
* calculated total energy: -8.324 eV/atom

Unit cell a=6.8838 b=6.8838 c=6.8838 alpha=91.71 beta=91.71 gamma=91.71
Fractional positions:
Sm1 0.0563 0.5635 0.7516
Sm2 0.2484 0.9437 0.4365
Sm3 0.4365 0.2484 0.9437
Sm4 0.5635 0.7516 0.0563
Sm5 0.7516 0.0563 0.5635
Sm6 0.9437 0.4365 0.2484
Dy1 0.0000 0.0000 0.0000
Dy2 0.5000 0.5000 0.5000
O1 0.0314 0.9009 0.6868
O2 0.0991 0.3132 0.9686
O3 0.1882 0.5927 0.4319
O4 0.3132 0.9686 0.0991
O5 0.4073 0.5681 0.8118
O6 0.4319 0.1882 0.5927
O7 0.5681 0.8118 0.4073
O8 0.5927 0.4319 0.1882
O9 0.6868 0.0314 0.9009
O10 0.8118 0.4073 0.5681
O11 0.9009 0.6868 0.0314
O12 0.9686 0.0991 0.3132

The following is a PBE-GGA calculation of a geometry-optimized LiSiIr2I structure, from Alexandria.

Values from the calculation:
* V: 19.956 Å³ per atom
* N(E_F): 3.4 states/eV/cell
* space group: P4/mmm (123)
* calculated total energy: -4.865 eV/atom

Unit cell a=4.4890 b=4.4890 c=4.9515 alpha=90.00 beta=90.00 gamma=90.00
Fractional positions:
Li1 0.0000 0.0000 0.0000
Si1 0.0000 0.0000 0.5000
Ir1 0.0000 0.5000 0.5000
Ir2 0.5000 0.0000 0.5000
I1 0.5000 0.5000 0.0000

The following is a PBE-GGA calculation of a geometry-optimized K3Bi2 structure, from Alexandria.

Values from the calculation:
* V: 40.390 Å³ per atom
* formation energy: -0.2690 eV per atom
* N(E_F): 8.2 states/eV/cell
* space group: Fdd2 (43)
* calculated total energy: -2.480 eV/atom

Unit cell a=10.6458 b=7.1418 c=12.0601 alpha=61.15 beta=35.99 gamma=82.86
Fractional positions:
K1 0.0000 0.0000 0.0000
K2 0.2500 0.2500 0.2500
K3 0.4323 0.5641 0.3601
K4 0.5641 0.4323 0.6436
K5 0.6064 0.8899 0.6859
K6 0.8899 0.6064 0.8177
Bi1 0.1428 0.7424 0.2943
Bi2 0.4295 0.9557 0.5076
Bi3 0.7424 0.1428 0.8205
Bi4 0.9557 0.4295 0.1072

The following is a PBE-GGA calculation of a geometry-optimized FeReSe structure, from Alexandria.

Values from the calculation:
* V: 16.583 Å³ per atom
* N(E_F): 10.5 states/eV/cell
* space group: F-43m (216)
* calculated total energy: -7.637 eV/atom

Unit cell a=5.8383 b=5.8383 c=5.8383 alpha=90.00 beta=90.00 gamma=90.00
Fractional positions:
Fe1 0.0000 0.0000 0.0000
Fe2 0.0000 0.5000 0.5000
Fe3 0.5000 0.0000 0.5000
Fe4 0.5000 0.5000 0.0000
Re1 0.2500 0.2500 0.7500
Re2 0.2500 0.7500 0.2500
Re3 0.7500 0.2500 0.2500
Re4 0.7500 0.7500 0.7500
Se1 0.0000 0.0000 0.5000
Se2 0.0000 0.5000 0.0000
Se3 0.5000 0.0000 0.0000
Se4 0.5000 0.5000 0.5000

The following is a PBE-GGA calculation of a geometry-optimized InAsW2 structure, from Alexandria.

Values from the calculation:
* V: 17.495 Å³ per atom
* formation energy: 0.6587 eV per atom
* N(E_F): 3.7 states/eV/cell
* space group: P2/m (10)
* calculated total energy: -7.665 eV/atom

Unit cell a=2.9343 b=4.1782 c=5.8921 alpha=90.00 beta=104.36 gamma=90.00
Fractional positions:
In1 0.0000 0.0000 0.0000
As1 0.5000 0.0000 0.5000
W1 0.3834 0.5000 0.7295
W2 0.6166 0.5000 0.2705

The following is a PBE-GGA calculation of a geometry-optimized BeAlHRu2 structure, from Alexandria.

Values from the calculation:
* V: 10.303 Å³ per atom
* N(E_F): 4.9 states/eV/cell
* space group: P4/mmm (123)
* calculated total energy: -6.142 eV/atom

Unit cell a=4.0850 b=4.0850 c=3.0871 alpha=90.00 beta=90.00 gamma=90.00
Fractional positions:
Be1 0.0000 0.0000 0.0000
Al1 0.5000 0.5000 0.0000
H1 0.0000 0.0000 0.5000
Ru1 0.0000 0.5000 0.5000
Ru2 0.5000 0.0000 0.5000

The following is a PBE-GGA calculation of a geometry-optimized Tb3SnSe2 structure, from Alexandria.

Values from the calculation:
* V: 26.483 Å³ per atom
* N(E_F): 3.1 states/eV/cell
* space group: C2/c (15)
* calculated total energy: -5.599 eV/atom

Unit cell a=7.3037 b=7.3037 c=7.2981 alpha=99.61 beta=99.61 gamma=120.01
Fractional positions:
Tb1 0.0000 0.5000 0.0000
Tb2 0.1552 0.3268 0.4968
Tb3 0.3268 0.1552 0.9968
Tb4 0.5000 0.0000 0.5000
Tb5 0.6732 0.8448 0.0032
Tb6 0.8448 0.6732 0.5032
Sn1 0.4186 0.5814 0.2500
Sn2 0.5814 0.4186 0.7500
Se1 0.0837 0.9163 0.2500
Se2 0.2520 0.7480 0.7500
Se3 0.7480 0.2520 0.2500
Se4 0.9163 0.0837 0.7500

The following is a PBE-GGA calculation of a geometry-optimized CdTeCS2 structure, from Alexandria.

Values from the calculation:
* V: 22.906 Å³ per atom
* N(E_F): 1.9 states/eV/cell
* space group: P4/mmm (123)
* calculated total energy: -3.084 eV/atom

Unit cell a=5.1854 b=5.1854 c=4.2595 alpha=90.00 beta=90.00 gamma=90.00
Fractional positions:
Cd1 0.0000 0.0000 0.0000
Te1 0.5000 0.5000 0.5000
C1 0.5000 0.5000 0.0000
S1 0.0000 0.5000 0.5000
S2 0.5000 0.0000 0.5000

The following is a PBE-GGA calculation of a geometry-optimized Li3LaO structure, from Alexandria.

Values from the calculation:
* V: 43.573 Å³ per atom
* N(E_F): 7.0 states/eV/cell
* space group: Pm-3m (221)
* calculated total energy: -1.728 eV/atom

Unit cell a=6.0172 b=6.0172 c=6.0172 alpha=90.00 beta=90.00 gamma=90.00
Fractional positions:
Li1 0.0000 0.0000 0.5000
Li2 0.0000 0.5000 0.0000
Li3 0.5000 0.0000 0.0000
La1 0.0000 0.0000 0.0000
O1 0.5000 0.5000 0.5000